K2TlIrBr6 after structural relaxation, computed with PBE. Values from VASP.

## Properties
Spin magnetization in μB per formula unit: 0.0
SG: R3
ΔE_f (raw) in eV per atom: -0.9454
Final energy in eV/atom: -3.2913

```
&SYSTEM
  ibrav = 0, nat = 10, ntyp = 4
/
ATOMIC_SPECIES
K 39.10 K.upf
Tl 204.38 Tl.upf
Ir 192.22 Ir.upf
Br 79.90 Br.upf
ATOMIC_POSITIONS crystal
K 0.5487 0.5484 0.3542
K 0.0835 0.0836 0.7493
Tl 0.8159 0.8159 0.5522
Ir 0.3162 0.3162 0.0514
Br 0.5129 0.1903 0.2893
Br 0.1903 0.0075 0.2897
Br 0.0076 0.5130 0.2894
Br 0.4420 0.6250 0.8130
Br 0.6248 0.1197 0.8134
Br 0.1197 0.4419 0.8134
CELL_PARAMETERS angstrom
8.0955 0.0004 0.0010
4.0483 7.0104 0.0012
4.0481 2.3378 6.0624
```

=====

KTl2IrBr after structural relaxation, computed with PBE. Values from VASP.

## Properties
Spin magnetization in μB per formula unit: 1.1
SG: P4/mmm
ΔE_f (raw) in eV per atom: 0.7066
Final energy in eV/atom: -2.5662

```
&SYSTEM
  ibrav = 0, nat = 5, ntyp = 4
/
ATOMIC_SPECIES
Tl 204.38 Tl.upf
Ir 192.22 Ir.upf
K 39.10 K.upf
Br 79.90 Br.upf
ATOMIC_POSITIONS crystal
Tl 0.0000 0.0000 0.5000
Tl 0.5000 0.0000 0.0000
Ir 0.5000 0.5000 0.5000
K 0.0000 0.5000 0.0000
Br 0.0000 0.0000 0.0000
CELL_PARAMETERS angstrom
6.0289 0.0000 0.0000
0.0000 5.8305 0.0000
0.0000 0.0000 6.0289
```

=====

La4IrBr after structural relaxation, computed with PBE. Values from VASP.

## Properties
Spin magnetization in μB per formula unit: 0.0
SG: F-43m
ΔE_f (raw) in eV per atom: 0.3534
Final energy in eV/atom: -4.6872

```
&SYSTEM
  ibrav = 0, nat = 6, ntyp = 3
/
ATOMIC_SPECIES
La 138.91 La.upf
Ir 192.22 Ir.upf
Br 79.90 Br.upf
ATOMIC_POSITIONS crystal
La 0.8759 0.3747 0.3747
La 0.3747 0.3747 0.8759
La 0.3747 0.8759 0.3747
La 0.3747 0.3747 0.3747
Ir 0.0000 0.0000 0.0000
Br 0.7500 0.7500 0.7500
CELL_PARAMETERS angstrom
0.0000 4.4076 4.4076
4.4076 0.0000 4.4076
4.4076 4.4076 0.0000
```

=====

La2IrBr after structural relaxation, computed with PBE. Values from VASP.

## Properties
Spin magnetization in μB per formula unit: 0.0
E above lowest polymorph in eV per atom: 0.463
SG: Fm-3m
ΔE_f (raw) in eV per atom: -0.7767
Final energy in eV/atom: -5.8739

```
&SYSTEM
  ibrav = 0, nat = 4, ntyp = 3
/
ATOMIC_SPECIES
Ir 192.22 Ir.upf
Br 79.90 Br.upf
La 138.91 La.upf
ATOMIC_POSITIONS crystal
Ir 0.5000 0.5000 0.5000
Br 0.0000 0.0000 0.0000
La 0.2500 0.2500 0.2500
La 0.7500 0.7500 0.7500
CELL_PARAMETERS angstrom
-4.0091 -3.3096 -0.4557
-3.2139 -0.7771 4.0374
-4.8857 1.8267 -0.1648
```

=====

Question: Number 3 is which compound?
Answer: La4IrBr

=====

Question: final energy of number 4 (La2IrBr)?
Answer: -5.8739 eV/atom